Compound: ZrTiP2Au
Source: the Alexandria database
Functional: meta-GGA SCAN
Structure: single point on PBEsol structure

Output
- volume (A^3/atom) = 19.72
- ΔH_f (0 K) (meV/atom) = 23

Cell: 4.528 4.528 4.810 Å, 90.00 90.00 90.00°
Space group P4/mmm (No. 123)
Symmetry-distinct sites (fractional):
1 Zr 0.000 0.000 0.000 (multiplicity 1)
2 Ti 0.500 0.500 0.500 (multiplicity 1)
3 P 0.000 0.500 0.500 (multiplicity 2)
4 Au 0.500 0.500 0.000 (multiplicity 1)

Compound: LaSc2Te
Source: the Alexandria database
Functional: meta-GGA SCAN
Structure: single point on PBEsol structure

Output
- volume (A^3/atom) = 26.60
- ΔE_f (raw) (eV/atom) = -0.55

Cell: 3.632 5.428 10.795 Å, 90.00 90.00 90.00°
Space group Immm (No. 71)
Symmetry-distinct sites (fractional):
1 La 0.000 0.000 0.000 (multiplicity 2)
2 Sc 0.000 0.500 0.221 (multiplicity 4)
3 Te 0.000 0.000 0.500 (multiplicity 2)

Compound: ScAg2
Source: the Alexandria database
Functional: meta-GGA SCAN
Structure: single point on PBEsol structure

Output
- energy above the most stable polymorph in this dataset (meV per atom) = 329
- volume (A^3/atom) = 18.46
- ΔH_f (0 K) (meV/atom) = -30

Cell: 3.145 14.580 4.831 Å, 90.00 90.00 90.00°
Space group Cmcm (No. 63)
Symmetry-distinct sites (fractional):
1 Sc 0.000 0.217 0.250 (multiplicity 4)
2 Ag 0.000 0.110 0.750 (multiplicity 4)
3 Ag 0.000 0.447 0.750 (multiplicity 4)

Compound: Zr5Ir
Source: the Alexandria database
Functional: meta-GGA SCAN
Structure: single point on PBEsol structure

Output
- energy above the most stable polymorph in this dataset (meV per atom) = 0
- volume (A^3/atom) = 20.31
- ΔH_f (0 K) (meV/atom) = -362

Cell: 10.822 3.336 7.178 Å, 90.00 109.85 90.00°
Space group C2/m (No. 12)
Symmetry-distinct sites (fractional):
1 Zr 0.000 0.000 0.000 (multiplicity 2)
2 Zr 0.151 0.500 0.352 (multiplicity 4)
3 Zr 0.166 0.500 0.813 (multiplicity 4)
4 Ir 0.000 0.000 0.500 (multiplicity 2)

Compound: Os2RuW
Source: the Alexandria database
Functional: meta-GGA SCAN
Structure: single point on PBEsol structure

Output
- energy above the most stable polymorph in this dataset (meV per atom) = 0
- volume (A^3/atom) = 14.21
- ΔH_f (0 K) (meV/atom) = -19

Cell: 3.844 3.844 3.846 Å, 90.00 90.00 90.00°
Space group P4/mmm (No. 123)
Symmetry-distinct sites (fractional):
1 Os 0.000 0.500 0.000 (multiplicity 2)
2 Ru 0.000 0.000 0.500 (multiplicity 1)
3 W 0.500 0.500 0.500 (multiplicity 1)

Compound: LiRu3
Source: the Alexandria database
Functional: meta-GGA SCAN
Structure: single point on PBEsol structure

Output
- volume (A^3/atom) = 13.02
- ΔH_f (0 K) (meV/atom) = 338

Cell: 5.024 7.874 2.633 Å, 90.00 90.00 90.00°
Space group Cmmm (No. 65)
Symmetry-distinct sites (fractional):
1 Li 0.000 0.000 0.000 (multiplicity 2)
2 Ru 0.000 0.500 0.000 (multiplicity 2)
3 Ru 0.250 0.250 0.500 (multiplicity 4)